{
  "formula": "CuIrS2",
  "functional": "PBE",
  "state": "optimized geometry",
  "lattice": [[3.475, 0.000, 0.000], [0.000, 3.475, 0.000], [0.000, 0.000, 4.945]],
  "species": ["S", "S", "Ir", "Cu"],
  "fractional_positions": [[0.500, 0.500, 0.500], [0.000, 0.000, 0.000], [0.500, 0.500, 0.000], [0.000, 0.000, 0.500]],
  "e_tot_ev_per_atom": -5.152,
  "n_ef_per_ev_cell": 3.06,
  "total_magnetization_mub_per_fu": 0.00
}